Record 1
Compound: Ag2AsCl
Source: the Alexandria database
Functional: GGA-PBEsol
Structure: relaxed

* raw total energy: -12.12 eV per cell
* Fermi-level density of states: 0.67 states/eV per atom
* ΔE_f (raw): 0.4033 eV/atom
* spin magnetization: 0.00 Bohr magnetons per cell
* E above lowest polymorph: 0.773 eV/f.u.

a = 4.700 Å, b = 4.700 Å, c = 4.700 Å
α = 60.00°, β = 60.00°, γ = 60.00°
Sites, in units of the cell vectors:
As 0.500 0.500 0.500
Ag 0.000 0.000 0.000
Ag 0.250 0.250 0.250
Cl 0.750 0.750 0.750

=====

Record 2
Compound: AgAs2Cl
Source: the Alexandria database
Functional: GGA-PBEsol
Structure: relaxed

* raw total energy: -14.71 eV per cell
* Fermi-level density of states: 0.25 states/eV per atom
* ΔE_f (raw): 0.2054 eV/atom
* spin magnetization: 0.00 Bohr magnetons per cell
* E above lowest polymorph: 1.417 eV/f.u.

a = 3.032 Å, b = 3.032 Å, c = 7.953 Å
α = 90.00°, β = 90.00°, γ = 90.00°
Sites, in units of the cell vectors:
As 0.000 0.000 0.734
As 0.000 0.000 0.266
Ag 0.500 0.500 0.500
Cl 0.500 0.500 0.000

=====

Record 3
Compound: AgAs2Cl
Source: the Alexandria database
Functional: GGA-PBEsol
Structure: relaxed

* raw total energy: -16.13 eV per cell
* Fermi-level density of states: 0.01 states/eV per atom
* ΔE_f (raw): -0.1489 eV/atom
* spin magnetization: 0.00 Bohr magnetons per cell
* E above lowest polymorph: 0.000 eV/f.u.

a = 3.656 Å, b = 3.656 Å, c = 7.570 Å
α = 76.02°, β = 76.02°, γ = 60.00°
Sites, in units of the cell vectors:
As 0.003 0.003 0.992
As 0.734 0.734 0.798
Ag 0.249 0.249 0.252
Cl 0.514 0.514 0.458

=====

Record 4
Compound: Cs2AgAsCl6
Source: the Alexandria database
Functional: GGA-PBEsol
Structure: relaxed

* raw total energy: -34.51 eV per cell
* ΔE_f (raw): -1.2163 eV/atom
* spin magnetization: 0.00 Bohr magnetons per cell

a = 7.272 Å, b = 7.272 Å, c = 7.272 Å
α = 60.00°, β = 60.00°, γ = 60.00°
Sites, in units of the cell vectors:
Cs 0.750 0.750 0.750
Cs 0.250 0.250 0.250
Ag 0.500 0.500 0.500
As 0.000 0.000 0.000
Cl 0.757 0.243 0.243
Cl 0.757 0.757 0.243
Cl 0.243 0.757 0.757
Cl 0.757 0.243 0.757
Cl 0.243 0.757 0.243
Cl 0.243 0.243 0.757

=====

Record 5
Compound: CuAg7As4ClO14
Source: the Alexandria database
Functional: GGA-PBEsol
Structure: relaxed

* raw total energy: -283.66 eV per cell
* Fermi-level density of states: 0.09 states/eV per atom
* ΔE_f (raw): -0.6812 eV/atom
* spin magnetization: 1.97 Bohr magnetons per cell

a = 6.803 Å, b = 6.803 Å, c = 16.369 Å
α = 86.78°, β = 86.78°, γ = 83.15°
Last column: magnetic moment on the atom in μB.
Sites, in units of the cell vectors:
Cu 0.283 0.287 0.843  0.56
Cu 0.287 0.283 0.343  0.56
Ag 0.026 0.542 0.019  0.03
Ag 0.887 0.330 0.518  0.00
Ag 0.654 0.880 0.820  0.01
Ag 0.613 0.151 0.678  0.02
Ag 0.880 0.654 0.320  0.01
Ag 0.926 0.047 0.997  0.02
Ag 0.542 0.026 0.519  0.03
Ag 0.668 0.478 0.190  0.01
Ag 0.330 0.887 0.018  0.00
Ag 0.151 0.613 0.178  0.02
Ag 0.047 0.926 0.497  0.02
Ag 0.579 0.060 0.176  0.00
Ag 0.060 0.579 0.676  0.00
Ag 0.478 0.668 0.690  0.01
As 0.152 0.807 0.841  0.00
As 0.807 0.152 0.341  0.00
As 0.489 0.375 0.007  0.00
As 0.380 0.766 0.349  0.01
As 0.375 0.489 0.507  0.00
As 0.129 0.099 0.681  0.00
As 0.099 0.129 0.181  0.00
As 0.766 0.380 0.849  0.01
Cl 0.819 0.759 0.113  0.00
Cl 0.759 0.819 0.613  0.00
O 0.440 0.537 0.083  0.02
O 0.774 0.572 0.779  0.00
O 0.254 0.990 0.372  0.06
O 0.384 0.281 0.451  0.07
O 0.327 0.930 0.881  0.00
O 0.591 0.225 0.831  0.06
O 0.281 0.384 0.951  0.07
O 0.673 0.487 0.944  0.00
O 0.944 0.023 0.259  0.00
O 0.576 0.137 0.034  0.00
O 0.990 0.254 0.872  0.06
O 0.296 0.218 0.729  0.06
O 0.218 0.296 0.229  0.06
O 0.956 0.783 0.909  0.01
O 0.256 0.600 0.793  0.01
O 0.572 0.774 0.279  0.00
O 0.783 0.956 0.409  0.01
O 0.600 0.256 0.293  0.01
O 0.930 0.327 0.381  0.00
O 0.225 0.591 0.331  0.06
O 0.930 0.259 0.652  0.00
O 0.137 0.576 0.534  0.00
O 0.487 0.673 0.444  0.00
O 0.959 0.245 0.106  0.01
O 0.023 0.944 0.759  0.00
O 0.245 0.959 0.606  0.01
O 0.259 0.930 0.152  0.00
O 0.537 0.440 0.583  0.02

=====

Record 6
Compound: AgAsICl2
Source: the Alexandria database
Functional: GGA-PBEsol
Structure: relaxed

* raw total energy: -14.26 eV per cell
* Fermi-level density of states: 0.43 states/eV per atom
* ΔE_f (raw): -0.0126 eV/atom
* spin magnetization: 0.00 Bohr magnetons per cell

a = 4.863 Å, b = 4.863 Å, c = 5.725 Å
α = 90.00°, β = 90.00°, γ = 90.00°
Sites, in units of the cell vectors:
I 0.000 0.000 0.500
As 0.000 0.000 0.000
Ag 0.500 0.500 0.500
Cl 0.000 0.500 0.000
Cl 0.500 0.000 0.000

=====

Record 7
Compound: AgAsPCl2
Source: the Alexandria database
Functional: GGA-PBEsol
Structure: relaxed

* raw total energy: -15.04 eV per cell
* Fermi-level density of states: 0.60 states/eV per atom
* ΔE_f (raw): 0.6375 eV/atom
* spin magnetization: 0.42 Bohr magnetons per cell

a = 4.705 Å, b = 4.705 Å, c = 5.018 Å
α = 90.00°, β = 90.00°, γ = 90.00°
Last column: magnetic moment on the atom in μB.
Sites, in units of the cell vectors:
P 0.000 0.000 0.500  -0.18
As 0.500 0.500 0.500  0.39
Ag 0.000 0.000 0.000  -0.01
Cl 0.000 0.500 0.000  0.00
Cl 0.500 0.000 0.000  0.00

=====

Record 8
Compound: Rb2AgAsCl6
Source: the Alexandria database
Functional: GGA-PBEsol
Structure: relaxed

* raw total energy: -34.25 eV per cell
* ΔE_f (raw): -1.1739 eV/atom
* spin magnetization: 0.00 Bohr magnetons per cell

a = 7.212 Å, b = 7.212 Å, c = 7.212 Å
α = 60.00°, β = 60.00°, γ = 60.00°
Sites, in units of the cell vectors:
Rb 0.750 0.750 0.750
Rb 0.250 0.250 0.250
Ag 0.500 0.500 0.500
As 0.000 0.000 0.000
Cl 0.756 0.244 0.244
Cl 0.756 0.756 0.244
Cl 0.244 0.756 0.756
Cl 0.756 0.244 0.756
Cl 0.244 0.756 0.244
Cl 0.244 0.244 0.756

=====

Record 9
Compound: CoAg2As
Source: the Alexandria database
Functional: GGA-PBEsol
Structure: relaxed

* raw total energy: -18.19 eV per cell
* Fermi-level density of states: 0.84 states/eV per atom
* spin magnetization: 1.17 Bohr magnetons per cell
* energy relative to the elements: 320 meV/atom

a = 4.396 Å, b = 4.396 Å, c = 4.396 Å
α = 60.00°, β = 60.00°, γ = 60.00°
Last column: magnetic moment on the atom in μB.
Sites, in units of the cell vectors:
As 0.500 0.500 0.500  0.00
Co 0.750 0.750 0.750  1.18
Ag 0.000 0.000 0.000  0.01
Ag 0.250 0.250 0.250  0.01

=====

Record 10
Compound: CoAg2As
Source: the Alexandria database
Functional: GGA-PBEsol
Structure: relaxed

* raw total energy: -18.04 eV per cell
* Fermi-level density of states: 0.76 states/eV per atom
* spin magnetization: 1.80 Bohr magnetons per cell
* energy relative to the elements: 356 meV/atom

a = 2.730 Å, b = 2.730 Å, c = 8.435 Å
α = 90.00°, β = 90.00°, γ = 90.00°
Last column: magnetic moment on the atom in μB.
Sites, in units of the cell vectors:
As 0.500 0.500 0.000  0.01
Co 0.500 0.500 0.500  1.80
Ag 0.000 0.000 0.724  0.00
Ag 0.000 0.000 0.276  0.00

=====

Record 11
Compound: CrAgAs2
Source: the Alexandria database
Functional: GGA-PBEsol
Structure: relaxed

* raw total energy: -22.71 eV per cell
* Fermi-level density of states: 0.58 states/eV per atom
* spin magnetization: 3.19 Bohr magnetons per cell
* E above lowest polymorph: 0.927 eV/f.u.
* energy relative to the elements: 265 meV/atom

a = 3.818 Å, b = 3.818 Å, c = 5.249 Å
α = 111.33°, β = 111.33°, γ = 90.00°
Last column: magnetic moment on the atom in μB.
Sites, in units of the cell vectors:
Ag 0.250 0.750 0.500  -0.01
As 0.000 0.000 0.000  -0.06
As 0.750 0.250 0.500  -0.08
Cr 0.500 0.500 0.000  3.17

=====

Record 12
Compound: CrAgAs
Source: the Alexandria database
Functional: GGA-PBEsol
Structure: relaxed

* raw total energy: -17.62 eV per cell
* Fermi-level density of states: 0.47 states/eV per atom
* spin magnetization: 0.00 Bohr magnetons per cell
* energy relative to the elements: 346 meV/atom

a = 2.885 Å, b = 2.885 Å, c = 6.355 Å
α = 90.00°, β = 90.00°, γ = 120.00°
Sites, in units of the cell vectors:
Ag 0.000 0.000 0.014
As 0.333 0.667 0.626
Cr 0.667 0.333 0.360